Record 1
Here is a relaxed structure of NaZnO3 from the Alexandria database. Energies are from PBE-GGA.

Lattice parameters (Å, degrees): 3.959 3.959 3.959 90.00 90.00 90.00
Fractional positions:
Na: 0.000 0.000 0.000
Zn: 0.500 0.500 0.500
O: 0.000 0.000 0.500
O: 0.000 0.500 0.000
O: 0.500 0.000 0.000

Output
Fermi-level density of states = 0.399 states/eV per atom
Crystal system = cubic
Symmetry = No. 221

***

Record 2
Here is a relaxed structure of LaAg3Au from the Alexandria database. Energies are from PBE-GGA.

Lattice parameters (Å, degrees): 5.660 5.660 5.660 90.00 90.00 90.00
Fractional positions:
La: 0.000 0.000 0.000
Ag: 0.000 0.000 0.500
Ag: 0.000 0.500 0.000
Ag: 0.500 0.000 0.000
Au: 0.500 0.500 0.500

Output
Fermi-level density of states = 0.511 states/eV per atom
Offset from the most stable computed form = 141.4 kJ per mole of atoms
Crystal system = cubic
Symmetry = No. 221

***

Record 3
Here is a relaxed structure of Ac12Hg6N from the Alexandria database. Energies are from PBE-GGA.

Lattice parameters (Å, degrees): 8.917 8.917 8.917 94.03 94.03 94.03
Fractional positions:
Ac: 0.041 0.921 0.694
Ac: 0.079 0.306 0.959
Ac: 0.209 0.423 0.540
Ac: 0.306 0.959 0.079
Ac: 0.423 0.540 0.209
Ac: 0.460 0.791 0.577
Ac: 0.540 0.209 0.423
Ac: 0.577 0.460 0.791
Ac: 0.694 0.041 0.921
Ac: 0.791 0.577 0.460
Ac: 0.921 0.694 0.041
Ac: 0.959 0.079 0.306
Hg: 0.145 0.751 0.353
Hg: 0.249 0.647 0.855
Hg: 0.353 0.145 0.751
Hg: 0.647 0.855 0.249
Hg: 0.751 0.353 0.145
Hg: 0.855 0.249 0.647
N: 0.500 0.500 0.500

Output
Fermi-level density of states = 1.189 states/eV per atom
Crystal system = trigonal
Symmetry = No. 148

***

Record 4
Here is a relaxed structure of Er6Cu5Ni from the Alexandria database. Energies are from PBE-GGA.

Lattice parameters (Å, degrees): 7.660 7.660 6.829 90.00 90.00 143.22
Fractional positions:
Er: 0.000 0.000 0.245
Er: 0.000 0.000 0.755
Er: 0.336 0.664 0.248
Er: 0.336 0.664 0.752
Er: 0.664 0.336 0.248
Er: 0.664 0.336 0.752
Cu: 0.167 0.833 0.500
Cu: 0.169 0.831 0.000
Cu: 0.500 0.500 0.500
Cu: 0.831 0.169 0.000
Cu: 0.833 0.167 0.500
Ni: 0.500 0.500 0.000

Output
Fermi-level density of states = 0.448 states/eV per atom
Crystal system = orthorhombic
Symmetry = No. 65

***

Record 5
Here is a relaxed structure of CdBiPd14 from the Alexandria database. Energies are from PBE-GGA.

Lattice parameters (Å, degrees): 5.722 5.722 7.882 90.00 90.00 90.00
Fractional positions:
Cd: 0.000 0.000 0.000
Bi: 0.500 0.500 0.000
Pd: 0.000 0.000 0.500
Pd: 0.000 0.500 0.000
Pd: 0.000 0.500 0.500
Pd: 0.249 0.249 0.256
Pd: 0.249 0.249 0.744
Pd: 0.249 0.751 0.256
Pd: 0.249 0.751 0.744
Pd: 0.500 0.000 0.000
Pd: 0.500 0.000 0.500
Pd: 0.500 0.500 0.500
Pd: 0.751 0.249 0.256
Pd: 0.751 0.249 0.744
Pd: 0.751 0.751 0.256
Pd: 0.751 0.751 0.744

Output
Fermi-level density of states = 1.895 states/eV per atom
Crystal system = tetragonal
Symmetry = No. 123

***

Record 6
Here is a relaxed structure of LiDy3Cd2 from the Alexandria database. Energies are from PBE-GGA.

Lattice parameters (Å, degrees): 3.748 3.748 11.116 90.00 90.00 90.00
Fractional positions:
Li: 0.000 0.000 0.000
Dy: 0.500 0.500 0.168
Dy: 0.500 0.500 0.500
Dy: 0.500 0.500 0.832
Cd: 0.000 0.000 0.331
Cd: 0.000 0.000 0.669

Output
Fermi-level density of states = 1.227 states/eV per atom
Offset from the most stable computed form = 1.2 kJ per mole of atoms
Crystal system = tetragonal
Symmetry = No. 123

***

Record 7
Here is a relaxed structure of SbCl from the Alexandria database. Energies are from PBE-GGA.

Lattice parameters (Å, degrees): 7.333 7.112 6.672 64.19 60.82 54.99
Fractional positions:
Sb: 0.027 0.723 0.027
Sb: 0.277 0.973 0.277
Sb: 0.723 0.027 0.723
Sb: 0.973 0.277 0.973
Cl: 0.223 0.223 0.527
Cl: 0.473 0.473 0.777
Cl: 0.527 0.527 0.223
Cl: 0.777 0.777 0.473

Output
Fermi-level density of states = 0.544 states/eV per atom
Offset from the most stable computed form = 29.5 kJ per mole of atoms
Crystal system = orthorhombic
Symmetry = No. 70

***

Record 8
Here is a relaxed structure of Ag3IrBr6 from the Alexandria database. Energies are from PBE-GGA.

Lattice parameters (Å, degrees): 7.013 6.999 12.607 90.00 123.18 90.00
Fractional positions:
Ag: 0.000 0.000 0.000
Ag: 0.000 0.500 0.500
Ag: 0.240 0.052 0.734
Ag: 0.240 0.448 0.234
Ag: 0.760 0.552 0.766
Ag: 0.760 0.948 0.266
Ir: 0.500 0.000 0.500
Ir: 0.500 0.500 0.000
Br: 0.162 0.080 0.282
Br: 0.162 0.420 0.782
Br: 0.252 0.672 0.056
Br: 0.252 0.828 0.556
Br: 0.424 0.199 0.081
Br: 0.424 0.301 0.581
Br: 0.576 0.699 0.419
Br: 0.576 0.801 0.919
Br: 0.748 0.172 0.444
Br: 0.748 0.328 0.944
Br: 0.838 0.580 0.218
Br: 0.838 0.920 0.718

Output
Crystal system = monoclinic
Symmetry = No. 14

***

| no. | total DFT energy (no corrections) (eV/atom) |
| --- | --- |
| 1 | -2.97 |
| 2 | -2.22 |
| 3 | -3.47 |
| 4 | -4.78 |
| 5 | -4.97 |
| 6 | -3.09 |
| 7 | -3.15 |
| 8 | -2.99 |